# BaAcCu2 | Alexandria via LeMat-Bulk | PBE-GGA | relaxed
data_BaAcCu2
_cell_length_a 7.736
_cell_length_b 7.736
_cell_length_c 7.736
_cell_angle_alpha 90.00
_cell_angle_beta 90.00
_cell_angle_gamma 90.00
_symmetry_space_group_name_H-M 'F m -3 m'
_symmetry_Int_Tables_number 225
_symmetry_space_group_name_Hall '-F 4 2 3'
loop_
_atom_site_label
_atom_site_fract_x
_atom_site_fract_y
_atom_site_fract_z
_atom_site_occupancy
Ba1 0.000 0.000 0.000 1
Ac1 0.000 0.000 0.500 1
Cu1 0.250 0.250 0.250 1
# - ΔH_f (0 K): 20 kJ/mol of formula units
# - Distance to the lowest polymorph of the same formula: 73 meV per atom

=====

# DyY7 | Alexandria via LeMat-Bulk | PBE-GGA | relaxed
data_DyY7
_cell_length_a 3.541
_cell_length_b 11.187
_cell_length_c 13.064
_cell_angle_alpha 90.00
_cell_angle_beta 90.00
_cell_angle_gamma 90.00
_symmetry_space_group_name_H-M 'I m m m'
_symmetry_Int_Tables_number 71
_symmetry_space_group_name_Hall '-I 2 2'
loop_
_atom_site_label
_atom_site_fract_x
_atom_site_fract_y
_atom_site_fract_z
_atom_site_occupancy
Dy1 0.000 0.000 0.000 1
Y1 0.000 0.232 0.368 1
Y2 0.000 0.500 0.000 1
Y3 0.000 0.500 0.260 1
# - ΔH_f (0 K): 31 kJ/mol of formula units
# - Distance to the lowest polymorph of the same formula: 15 meV per atom

=====

# Cr2PdRhN | Alexandria via LeMat-Bulk | PBE-GGA | relaxed
data_Cr2PdRhN
_cell_length_a 3.898
_cell_length_b 3.898
_cell_length_c 4.058
_cell_angle_alpha 90.00
_cell_angle_beta 90.00
_cell_angle_gamma 90.00
_symmetry_space_group_name_H-M 'P 4/m m m'
_symmetry_Int_Tables_number 123
_symmetry_space_group_name_Hall '-P 4 2'
loop_
_atom_site_label
_atom_site_fract_x
_atom_site_fract_y
_atom_site_fract_z
_atom_site_occupancy
Cr1 0.000 0.500 0.000 1
Pd1 0.000 0.000 0.500 1
Rh1 0.500 0.500 0.500 1
N1 0.500 0.500 0.000 1
# - Formation energy (no corrections): -0.0687 eV per atom

=====

# CoIr2W | Alexandria via LeMat-Bulk | PBE-GGA | relaxed
data_CoIr2W
_cell_length_a 8.955
_cell_length_b 2.726
_cell_length_c 4.679
_cell_angle_alpha 90.00
_cell_angle_beta 99.97
_cell_angle_gamma 90.00
_symmetry_space_group_name_H-M 'C 1 2/m 1'
_symmetry_Int_Tables_number 12
loop_
_symmetry_equiv_pos_as_xyz
'x,y,z'
'-x,-y,-z'
'-x,y,-z'
'x,-y,z'
'x+1/2,y+1/2,z'
'-x+1/2,-y+1/2,-z'
'-x+1/2,y+1/2,-z'
'x+1/2,-y+1/2,z'
loop_
_atom_site_label
_atom_site_fract_x
_atom_site_fract_y
_atom_site_fract_z
_atom_site_occupancy
Co1 0.000 0.000 0.000 1
Ir1 0.249 0.500 0.243 1
W1 0.000 0.500 0.500 1
# - ΔH_f (0 K): -29 kJ/mol of formula units
# - Distance to the lowest polymorph of the same formula: 138 meV per atom

=====

# AlPt2W | Alexandria via LeMat-Bulk | PBE-GGA | relaxed
data_AlPt2W
_cell_length_a 3.800
_cell_length_b 4.019
_cell_length_c 8.034
_cell_angle_alpha 90.00
_cell_angle_beta 90.00
_cell_angle_gamma 90.00
_symmetry_space_group_name_H-M 'I m m m'
_symmetry_Int_Tables_number 71
_symmetry_space_group_name_Hall '-I 2 2'
loop_
_atom_site_label
_atom_site_fract_x
_atom_site_fract_y
_atom_site_fract_z
_atom_site_occupancy
Al1 0.000 0.000 0.000 1
Pt1 0.000 0.500 0.258 1
W1 0.000 0.000 0.500 1
# - ΔH_f (0 K): -114 kJ/mol of formula units

=====

# EuYTmTh | Alexandria via LeMat-Bulk | PBE-GGA | relaxed
data_EuYTmTh
_cell_length_a 8.103
_cell_length_b 8.103
_cell_length_c 8.103
_cell_angle_alpha 90.00
_cell_angle_beta 90.00
_cell_angle_gamma 90.00
_symmetry_space_group_name_H-M 'F -4 3 m'
_symmetry_Int_Tables_number 216
_symmetry_space_group_name_Hall 'F -4 2 3'
loop_
_atom_site_label
_atom_site_fract_x
_atom_site_fract_y
_atom_site_fract_z
_atom_site_occupancy
Eu1 0.000 0.000 0.000 1
Y1 0.250 0.250 0.250 1
Tm1 0.000 0.000 0.500 1
Th1 0.250 0.250 0.750 1
# - ΔH_f (0 K): 84 kJ/mol of formula units

=====

# Al2SbRu | Alexandria via LeMat-Bulk | PBE-GGA | relaxed
data_Al2SbRu
_cell_length_a 3.1558
_cell_length_b 3.1558
_cell_length_c 25.2356
_cell_angle_alpha 90.00
_cell_angle_beta 90.00
_cell_angle_gamma 120.00
_symmetry_space_group_name_H-M 'R -3 m'
_symmetry_Int_Tables_number 166
_symmetry_space_group_name_Hall '-R 3 2"'
loop_
_atom_site_label
_atom_site_fract_x
_atom_site_fract_y
_atom_site_fract_z
_atom_site_occupancy
Al1 0.0000 0.0000 0.2362 1
Sb1 0.0000 0.0000 0.0000 1
Ru1 0.0000 0.0000 0.5000 1
# - Formation energy (no corrections): -0.0890 eV per atom

=====

# Cu2GePb | Alexandria via LeMat-Bulk | PBE-GGA | relaxed
data_Cu2GePb
_cell_length_a 4.491
_cell_length_b 4.491
_cell_length_c 16.229
_cell_angle_alpha 90.00
_cell_angle_beta 90.00
_cell_angle_gamma 90.00
_symmetry_space_group_name_H-M 'I -4 2 d'
_symmetry_Int_Tables_number 122
_symmetry_space_group_name_Hall 'I -4 2bw'
loop_
_atom_site_label
_atom_site_fract_x
_atom_site_fract_y
_atom_site_fract_z
_atom_site_occupancy
Cu1 0.131 0.250 0.125 1
Ge1 0.000 0.000 0.000 1
Pb1 0.000 0.000 0.500 1
# - ΔH_f (0 K): 95 kJ/mol of formula units
# - Distance to the lowest polymorph of the same formula: 0 meV per atom

=====

# Nd3In4Cu2 | Alexandria via LeMat-Bulk | PBE-GGA | relaxed
data_Nd3In4Cu2
_cell_length_a 11.264
_cell_length_b 4.771
_cell_length_c 9.121
_cell_angle_alpha 90.00
_cell_angle_beta 113.46
_cell_angle_gamma 90.00
_symmetry_space_group_name_H-M 'C 1 2/m 1'
_symmetry_Int_Tables_number 12
loop_
_symmetry_equiv_pos_as_xyz
'x,y,z'
'-x,-y,-z'
'-x,y,-z'
'x,-y,z'
'x+1/2,y+1/2,z'
'-x+1/2,-y+1/2,-z'
'-x+1/2,y+1/2,-z'
'x+1/2,-y+1/2,z'
loop_
_atom_site_label
_atom_site_fract_x
_atom_site_fract_y
_atom_site_fract_z
_atom_site_occupancy
Nd1 0.000 0.000 0.000 1
Nd2 0.174 0.500 0.648 1
In1 0.034 0.000 0.361 1
In2 0.231 0.500 0.082 1
Cu1 0.095 0.500 0.270 1
# - ΔH_f (0 K): -346 kJ/mol of formula units

=====

# Dy2ZrCd6 | Alexandria via LeMat-Bulk | PBE-GGA | relaxed
data_Dy2ZrCd6
_cell_length_a 8.5717
_cell_length_b 8.5717
_cell_length_c 3.2973
_cell_angle_alpha 90.00
_cell_angle_beta 90.00
_cell_angle_gamma 120.00
_symmetry_space_group_name_H-M 'P 6/m m m'
_symmetry_Int_Tables_number 191
_symmetry_space_group_name_Hall '-P 6 2'
loop_
_atom_site_label
_atom_site_fract_x
_atom_site_fract_y
_atom_site_fract_z
_atom_site_occupancy
Dy1 0.3333 0.6667 0.0000 1
Zr1 0.0000 0.0000 0.0000 1
Cd1 0.0000 0.3293 0.5000 1
# - ΔH_f (0 K): -194 kJ/mol of formula units

=====

# CdSe2Br | Alexandria via LeMat-Bulk | PBE-GGA | relaxed
data_CdSe2Br
_cell_length_a 5.767
_cell_length_b 5.767
_cell_length_c 15.213
_cell_angle_alpha 90.00
_cell_angle_beta 90.00
_cell_angle_gamma 90.00
_symmetry_space_group_name_H-M 'I -4 2 d'
_symmetry_Int_Tables_number 122
_symmetry_space_group_name_Hall 'I -4 2bw'
loop_
_atom_site_label
_atom_site_fract_x
_atom_site_fract_y
_atom_site_fract_z
_atom_site_occupancy
Cd1 0.000 0.000 0.000 1
Se1 0.239 0.250 0.125 1
Br1 0.000 0.000 0.500 1
# - Distance to the lowest polymorph of the same formula: 472 meV per atom
# - Formation energy (no corrections): 0.1740 eV per atom

=====

# Ac2AlSiNi6 | Alexandria via LeMat-Bulk | PBE-GGA | relaxed
data_Ac2AlSiNi6
_cell_length_a 6.143
_cell_length_b 6.151
_cell_length_c 6.464
_cell_angle_alpha 61.70
_cell_angle_beta 61.64
_cell_angle_gamma 60.05
_symmetry_space_group_name_H-M 'P -1'
_symmetry_Int_Tables_number 2
loop_
_symmetry_equiv_pos_as_xyz
'x,y,z'
'-x,-y,-z'
loop_
_atom_site_label
_atom_site_fract_x
_atom_site_fract_y
_atom_site_fract_z
_atom_site_occupancy
Ac1 0.216 0.216 0.352 1
Al1 0.500 0.500 0.500 1
Si1 0.000 0.000 0.000 1
Ni1 0.245 0.646 0.862 1
Ni2 0.247 0.245 0.862 1
Ni3 0.354 0.753 0.138 1
# - Formation energy (no corrections): -0.4098 eV per atom

=====

# SrCa3Mn | Alexandria via LeMat-Bulk | PBE-GGA | relaxed
data_SrCa3Mn
_cell_length_a 5.774
_cell_length_b 5.774
_cell_length_c 5.774
_cell_angle_alpha 90.00
_cell_angle_beta 90.00
_cell_angle_gamma 90.00
_symmetry_space_group_name_H-M 'P m -3 m'
_symmetry_Int_Tables_number 221
_symmetry_space_group_name_Hall '-P 4 2 3'
loop_
_atom_site_label
_atom_site_fract_x
_atom_site_fract_y
_atom_site_fract_z
_atom_site_occupancy
Sr1 0.000 0.000 0.000 1
Ca1 0.000 0.500 0.500 1
Mn1 0.500 0.500 0.500 1
# - ΔH_f (0 K): 148 kJ/mol of formula units
# - Distance to the lowest polymorph of the same formula: 0 meV per atom

=====

# Br3Cl | Alexandria via LeMat-Bulk | PBE-GGA | relaxed
data_Br3Cl
_cell_length_a 4.3319
_cell_length_b 4.3319
_cell_length_c 20.7622
_cell_angle_alpha 90.00
_cell_angle_beta 90.00
_cell_angle_gamma 120.00
_symmetry_space_group_name_H-M 'R -3 m'
_symmetry_Int_Tables_number 166
_symmetry_space_group_name_Hall '-R 3 2"'
loop_
_atom_site_label
_atom_site_fract_x
_atom_site_fract_y
_atom_site_fract_z
_atom_site_occupancy
Br1 0.0000 0.0000 0.0000 1
Br2 0.0000 0.0000 0.2519 1
Cl1 0.0000 0.0000 0.5000 1
# - Formation energy (no corrections): 0.5019 eV per atom

=====

# CaAcAgP | Alexandria via LeMat-Bulk | PBE-GGA | relaxed
data_CaAcAgP
_cell_length_a 7.489
_cell_length_b 7.489
_cell_length_c 7.489
_cell_angle_alpha 90.00
_cell_angle_beta 90.00
_cell_angle_gamma 90.00
_symmetry_space_group_name_H-M 'F -4 3 m'
_symmetry_Int_Tables_number 216
_symmetry_space_group_name_Hall 'F -4 2 3'
loop_
_atom_site_label
_atom_site_fract_x
_atom_site_fract_y
_atom_site_fract_z
_atom_site_occupancy
Ca1 0.000 0.000 0.000 1
Ac1 0.000 0.000 0.500 1
Ag1 0.250 0.250 0.750 1
P1 0.250 0.250 0.250 1
# - ΔH_f (0 K): -227 kJ/mol of formula units

=====

# Tl2Pb2Br | Alexandria via LeMat-Bulk | PBE-GGA | relaxed
data_Tl2Pb2Br
_cell_length_a 4.430
_cell_length_b 4.430
_cell_length_c 16.731
_cell_angle_alpha 90.00
_cell_angle_beta 90.00
_cell_angle_gamma 90.00
_symmetry_space_group_name_H-M 'I 4/m m m'
_symmetry_Int_Tables_number 139
_symmetry_space_group_name_Hall '-I 4 2'
loop_
_atom_site_label
_atom_site_fract_x
_atom_site_fract_y
_atom_site_fract_z
_atom_site_occupancy
Tl1 0.000 0.500 0.250 1
Pb1 0.000 0.000 0.099 1
Br1 0.000 0.000 0.500 1
# - Distance to the lowest polymorph of the same formula: 64 meV per atom
# - Formation energy (no corrections): -0.0312 eV per atom

=====

# LaBeAu2 | Alexandria via LeMat-Bulk | PBE-GGA | relaxed
data_LaBeAu2
_cell_length_a 4.392
_cell_length_b 5.523
_cell_length_c 7.210
_cell_angle_alpha 90.00
_cell_angle_beta 90.00
_cell_angle_gamma 90.00
_symmetry_space_group_name_H-M 'I m m 2'
_symmetry_Int_Tables_number 44
loop_
_symmetry_equiv_pos_as_xyz
'x,y,z'
'-x,-y,z'
'-x,y,z'
'x,-y,z'
'x+1/2,y+1/2,z+1/2'
'-x+1/2,-y+1/2,z+1/2'
'-x+1/2,y+1/2,z+1/2'
'x+1/2,-y+1/2,z+1/2'
loop_
_atom_site_label
_atom_site_fract_x
_atom_site_fract_y
_atom_site_fract_z
_atom_site_occupancy
La1 0.000 0.000 0.000 1
Be1 0.000 0.500 0.834 1
Au1 0.000 0.000 0.427 1
Au2 0.000 0.500 0.196 1
# - ΔH_f (0 K): -127 kJ/mol of formula units

=====

# Ag5Sn3Cl12 | Alexandria via LeMat-Bulk | PBE-GGA | relaxed
data_Ag5Sn3Cl12
_cell_length_a 16.252
_cell_length_b 16.252
_cell_length_c 16.252
_cell_angle_alpha 90.00
_cell_angle_beta 90.00
_cell_angle_gamma 90.00
_symmetry_space_group_name_H-M 'I a -3 d'
_symmetry_Int_Tables_number 230
_symmetry_space_group_name_Hall '-I 4bd 2c 3'
loop_
_atom_site_label
_atom_site_fract_x
_atom_site_fract_y
_atom_site_fract_z
_atom_site_occupancy
Ag1 0.000 0.000 0.000 1
Ag2 0.000 0.250 0.375 1
Sn1 0.000 0.250 0.125 1
Cl1 0.022 0.066 0.652 1
# - Formation energy (no corrections): -0.6375 eV per atom

=====

# CaTa3Cr | Alexandria via LeMat-Bulk | PBE-GGA | relaxed
data_CaTa3Cr
_cell_length_a 4.647
_cell_length_b 4.647
_cell_length_c 4.647
_cell_angle_alpha 90.00
_cell_angle_beta 90.00
_cell_angle_gamma 90.00
_symmetry_space_group_name_H-M 'P m -3 m'
_symmetry_Int_Tables_number 221
_symmetry_space_group_name_Hall '-P 4 2 3'
loop_
_atom_site_label
_atom_site_fract_x
_atom_site_fract_y
_atom_site_fract_z
_atom_site_occupancy
Ca1 0.000 0.000 0.000 1
Ta1 0.000 0.000 0.500 1
Cr1 0.500 0.500 0.500 1
# - ΔH_f (0 K): 1413 kJ/mol of formula units
# - Distance to the lowest polymorph of the same formula: 2068 meV per atom

=====

# Cd2ReN2 | Alexandria via LeMat-Bulk | PBE-GGA | relaxed
data_Cd2ReN2
_cell_length_a 4.638
_cell_length_b 4.638
_cell_length_c 8.520
_cell_angle_alpha 90.00
_cell_angle_beta 90.00
_cell_angle_gamma 90.00
_symmetry_space_group_name_H-M 'I 4/m m m'
_symmetry_Int_Tables_number 139
_symmetry_space_group_name_Hall '-I 4 2'
loop_
_atom_site_label
_atom_site_fract_x
_atom_site_fract_y
_atom_site_fract_z
_atom_site_occupancy
Cd1 0.000 0.500 0.250 1
Re1 0.000 0.000 0.000 1
N1 0.000 0.000 0.433 1
# - Distance to the lowest polymorph of the same formula: 857 meV per atom
# - Formation energy (no corrections): 1.3407 eV per atom